(1)
VASP calculation (PBE-GGA) on a relaxed structure of LaAl2Tc.

## Properties
* mass density: 6121 kg/m³
* M_tot: 0.165 μB per atom
* formation energy: 0.237 eV per atom
* energy above the most stable polymorph in this dataset: 554 meV/atom

Lattice parameters (Å, degrees): 9.7826 9.7826 9.7826 18.10 18.10 18.10
Site moments in Bohr magnetons follow the coordinates.
Positions (direct):
1 Al 0.0069 0.0069 0.0069  0.00
2 Al 0.2613 0.2613 0.2613  0.00
3 Tc 0.7384 0.7384 0.7384  0.02
4 La 0.4935 0.4935 0.4935  0.40

(2)
VASP calculation (PBE-GGA) on a relaxed structure of LaAl2Tc.

## Properties
* mass density: 5412 kg/m³
* M_tot: 0.000 μB per atom
* formation energy: -0.230 eV per atom
* energy above the most stable polymorph in this dataset: 87 meV/atom

Lattice parameters (Å, degrees): 4.4249 4.4249 5.8600 67.67 67.67 59.93
Positions (direct):
1 Al 0.9797 0.9797 0.0607
2 Al 0.7008 0.7008 0.8974
3 Tc 0.3154 0.3154 0.0529
4 La 0.5040 0.5040 0.4890